[1]
{
  "formula": "PuCd2In",
  "functional": "GGA-PBE",
  "state": "relaxed",
  "lattice_angstrom": [[4.930, 0.000, 0.000], [0.000, 10.828, 0.000], [0.000, 0.000, 7.498]],
  "species": ["Pu", "Pu", "Pu", "Pu", "Cd", "Cd", "Cd", "Cd", "Cd", "Cd", "Cd", "Cd", "In", "In", "In", "In"],
  "frac_coords": [[0.250, 0.121, 0.000], [0.250, 0.621, 0.500], [0.750, 0.379, 0.500], [0.750, 0.879, 0.000], [0.250, 0.181, 0.498], [0.250, 0.401, 0.206], [0.250, 0.681, 0.998], [0.250, 0.901, 0.706], [0.750, 0.099, 0.706], [0.750, 0.319, 0.998], [0.750, 0.599, 0.206], [0.750, 0.819, 0.498], [0.250, 0.394, 0.787], [0.250, 0.894, 0.287], [0.750, 0.106, 0.287], [0.750, 0.606, 0.787]],
  "e_above_lowest_polymorph_kcal_per_mol_atoms": 0.13,
  "m_tot_mub_per_cell": 23.502,
  "spacegroup": "Ama2, No. 40",
  "final_energy_ev_per_atom": -4.8197,
  "formation_enthalpy_0k_ev_per_atom": -0.095
}

[2]
{
  "formula": "CdIn16Sn12",
  "functional": "GGA-PBE",
  "state": "relaxed",
  "lattice_angstrom": [[5.897, -8.442, 0.000], [5.897, 8.442, 0.000], [-5.261, 0.000, 8.156]],
  "species": ["Cd", "In", "In", "In", "In", "In", "In", "In", "In", "In", "In", "In", "In", "In", "In", "In", "In", "Sn", "Sn", "Sn", "Sn", "Sn", "Sn", "Sn", "Sn", "Sn", "Sn", "Sn", "Sn"],
  "frac_coords": [[0.000, 0.000, 0.000], [0.012, 0.688, 0.336], [0.081, 0.414, 0.744], [0.112, 0.418, 0.148], [0.113, 0.825, 0.737], [0.138, 0.721, 0.041], [0.409, 0.830, 0.434], [0.414, 0.081, 0.744], [0.418, 0.112, 0.148], [0.421, 0.421, 0.751], [0.423, 0.423, 0.391], [0.688, 0.012, 0.336], [0.721, 0.138, 0.041], [0.730, 0.730, 0.454], [0.772, 0.772, 0.095], [0.825, 0.113, 0.737], [0.830, 0.409, 0.434], [0.017, 0.211, 0.335], [0.029, 0.029, 0.547], [0.211, 0.017, 0.335], [0.227, 0.227, 0.926], [0.230, 0.580, 0.549], [0.422, 0.615, 0.125], [0.425, 0.814, 0.940], [0.580, 0.230, 0.549], [0.615, 0.422, 0.125], [0.619, 0.803, 0.741], [0.803, 0.619, 0.741], [0.814, 0.425, 0.940]],
  "m_tot_mub_per_cell": 0.000,
  "spacegroup": "Cm, No. 8",
  "final_energy_ev_per_atom": -3.1598,
  "formation_enthalpy_0k_ev_per_atom": 0.039
}

[3]
{
  "formula": "Mg2Ag6Hg",
  "functional": "GGA-PBE",
  "state": "relaxed",
  "lattice_angstrom": [[-2.410, 4.113, 4.383], [2.410, -4.113, 4.383], [2.410, 4.113, -4.383]],
  "species": ["Mg", "Mg", "Ag", "Ag", "Ag", "Ag", "Ag", "Ag", "Hg"],
  "frac_coords": [[0.175, 0.175, 0.000], [0.825, 0.825, 0.000], [0.013, 0.332, 0.681], [0.299, 0.000, 0.299], [0.349, 0.668, 0.681], [0.651, 0.332, 0.319], [0.701, 0.000, 0.701], [0.987, 0.668, 0.319], [0.500, 0.500, 0.000]],
  "e_above_lowest_polymorph_kcal_per_mol_atoms": 2.06,
  "m_tot_mub_per_cell": 0.000,
  "spacegroup": "Immm, No. 71",
  "final_energy_ev_per_atom": -2.3207,
  "formation_enthalpy_0k_ev_per_atom": -0.032
}

[4]
{
  "formula": "KLiCu2",
  "functional": "GGA-PBE",
  "state": "relaxed",
  "lattice_angstrom": [[4.883, 0.000, 0.000], [0.000, 4.883, 0.000], [0.000, 0.000, 17.544]],
  "species": ["K", "K", "K", "K", "Li", "Li", "Li", "Li", "Cu", "Cu", "Cu", "Cu", "Cu", "Cu", "Cu", "Cu"],
  "frac_coords": [[0.000, 0.250, 0.375], [0.000, 0.750, 0.625], [0.500, 0.250, 0.125], [0.500, 0.750, 0.875], [0.000, 0.250, 0.875], [0.000, 0.750, 0.125], [0.500, 0.250, 0.625], [0.500, 0.750, 0.375], [0.000, 0.000, 0.000], [0.000, 0.500, 0.000], [0.250, 0.250, 0.750], [0.250, 0.750, 0.250], [0.500, 0.000, 0.500], [0.500, 0.500, 0.500], [0.750, 0.250, 0.750], [0.750, 0.750, 0.250]],
  "e_above_lowest_polymorph_kcal_per_mol_atoms": 4.33,
  "m_tot_mub_per_cell": 0.000,
  "spacegroup": "I4_1/amd, No. 141",
  "final_energy_ev_per_atom": -2.4625,
  "formation_enthalpy_0k_ev_per_atom": 0.338
}

[5]
{
  "formula": "Sm3CuRh3",
  "functional": "GGA-PBE",
  "state": "relaxed",
  "lattice_angstrom": [[2.068, -5.155, 0.000], [2.068, 5.155, 0.000], [0.000, 0.000, 13.899]],
  "species": ["Sm", "Sm", "Sm", "Sm", "Sm", "Sm", "Cu", "Cu", "Rh", "Rh", "Rh", "Rh", "Rh", "Rh"],
  "frac_coords": [[0.024, 0.976, 0.750], [0.304, 0.696, 0.601], [0.304, 0.696, 0.899], [0.696, 0.304, 0.101], [0.696, 0.304, 0.399], [0.976, 0.024, 0.250], [0.000, 0.000, 0.000], [0.000, 0.000, 0.500], [0.252, 0.748, 0.250], [0.410, 0.590, 0.090], [0.410, 0.590, 0.410], [0.590, 0.410, 0.590], [0.590, 0.410, 0.910], [0.748, 0.252, 0.750]],
  "m_tot_mub_per_cell": 0.000,
  "spacegroup": "Cmcm, No. 63",
  "final_energy_ev_per_atom": -6.3892,
  "formation_enthalpy_0k_ev_per_atom": -0.631
}

[6]
{
  "formula": "CrAg2Ir",
  "functional": "GGA-PBE",
  "state": "relaxed",
  "lattice_angstrom": [[7.434, 0.000, 0.000], [0.000, 7.434, 0.000], [0.000, 0.000, 5.203]],
  "species": ["Cr", "Cr", "Cr", "Cr", "Ag", "Ag", "Ag", "Ag", "Ag", "Ag", "Ag", "Ag", "Ir", "Ir", "Ir", "Ir"],
  "frac_coords": [[0.000, 0.000, 0.000], [0.000, 0.500, 0.250], [0.500, 0.000, 0.750], [0.500, 0.500, 0.500], [0.248, 0.250, 0.625], [0.250, 0.748, 0.875], [0.250, 0.752, 0.375], [0.252, 0.250, 0.125], [0.748, 0.750, 0.125], [0.750, 0.248, 0.375], [0.750, 0.252, 0.875], [0.752, 0.750, 0.625], [0.000, 0.000, 0.500], [0.000, 0.500, 0.750], [0.500, 0.000, 0.250], [0.500, 0.500, 0.000]],
  "e_above_lowest_polymorph_kcal_per_mol_atoms": 15.10,
  "m_tot_mub_per_cell": 15.003,
  "spacegroup": "I-42d, No. 122",
  "final_energy_ev_per_atom": -5.2000,
  "formation_enthalpy_0k_ev_per_atom": 0.847
}

[7]
{
  "formula": "CdCuRu2",
  "functional": "GGA-PBE",
  "state": "relaxed",
  "lattice_angstrom": [[2.766, 0.000, 0.000], [-1.383, 2.395, 0.000], [0.000, 0.000, 27.044]],
  "species": ["Cd", "Cd", "Cd", "Cu", "Cu", "Cu", "Ru", "Ru", "Ru", "Ru", "Ru", "Ru"],
  "frac_coords": [[0.000, 0.000, 0.000], [0.333, 0.667, 0.667], [0.667, 0.333, 0.333], [0.000, 0.000, 0.500], [0.333, 0.667, 0.167], [0.667, 0.333, 0.833], [0.000, 0.000, 0.244], [0.000, 0.000, 0.756], [0.333, 0.667, 0.423], [0.333, 0.667, 0.910], [0.667, 0.333, 0.090], [0.667, 0.333, 0.577]],
  "m_tot_mub_per_cell": 0.000,
  "spacegroup": "R-3m, No. 166",
  "final_energy_ev_per_atom": -5.5008,
  "formation_enthalpy_0k_ev_per_atom": 0.390
}

[8]
{
  "formula": "KSc2B2S6",
  "functional": "GGA-PBE",
  "state": "relaxed",
  "lattice_angstrom": [[6.399, 0.000, 0.000], [-0.571, 6.542, 0.000], [-2.957, -2.963, 5.793]],
  "species": ["K", "Sc", "Sc", "B", "B", "S", "S", "S", "S", "S", "S"],
  "frac_coords": [[0.000, 0.000, 0.000], [0.332, 0.684, 0.350], [0.668, 0.316, 0.650], [0.268, 0.272, 0.701], [0.732, 0.728, 0.299], [0.136, 0.386, 0.887], [0.256, 0.378, 0.495], [0.416, 0.047, 0.721], [0.584, 0.953, 0.279], [0.744, 0.622, 0.505], [0.864, 0.614, 0.113]],
  "m_tot_mub_per_cell": 0.868,
  "spacegroup": "P-1, No. 2",
  "final_energy_ev_per_atom": -5.7551
}

[9]
{
  "formula": "Ac8Ga3GeI4",
  "functional": "GGA-PBE",
  "state": "relaxed",
  "lattice_angstrom": [[4.710, 2.719, 7.936], [-4.710, 2.719, 7.936], [0.000, -5.439, 7.936]],
  "species": ["Ac", "Ac", "Ac", "Ac", "Ac", "Ac", "Ac", "Ac", "Ga", "Ga", "Ga", "Ge", "I", "I", "I", "I"],
  "frac_coords": [[0.236, 0.236, 0.236], [0.236, 0.736, 0.736], [0.264, 0.264, 0.764], [0.264, 0.764, 0.264], [0.736, 0.236, 0.736], [0.736, 0.736, 0.236], [0.764, 0.264, 0.264], [0.764, 0.764, 0.764], [0.000, 0.000, 0.500], [0.000, 0.500, 0.000], [0.500, 0.000, 0.000], [0.500, 0.500, 0.500], [0.000, 0.000, 0.000], [0.000, 0.500, 0.500], [0.500, 0.000, 0.500], [0.500, 0.500, 0.000]],
  "m_tot_mub_per_cell": 0.000,
  "spacegroup": "R-3m, No. 166",
  "final_energy_ev_per_atom": -4.1175
}

[10]
{
  "formula": "PrO",
  "functional": "GGA-PBE",
  "state": "relaxed",
  "lattice_angstrom": [[3.450, 0.000, 0.000], [-1.725, 2.988, 0.000], [0.000, 0.000, 6.575]],
  "species": ["Pr", "Pr", "O", "O"],
  "frac_coords": [[0.000, 0.000, 0.000], [0.000, 0.000, 0.500], [0.333, 0.667, 0.250], [0.667, 0.333, 0.750]],
  "e_above_lowest_polymorph_kcal_per_mol_atoms": 5.80,
  "m_tot_mub_per_cell": 0.000,
  "spacegroup": "P6_3/mmc, No. 194",
  "final_energy_ev_per_atom": -7.3164
}

[11]
{
  "formula": "ReIr6Os",
  "functional": "GGA-PBE",
  "state": "relaxed",
  "lattice_angstrom": [[3.653, 2.109, 3.019], [-3.653, 2.109, 3.019], [0.000, -4.218, 3.019]],
  "species": ["Re", "Ir", "Ir", "Ir", "Ir", "Ir", "Ir", "Os"],
  "frac_coords": [[0.000, 0.000, 0.000], [0.168, 0.168, 0.561], [0.168, 0.561, 0.168], [0.439, 0.832, 0.832], [0.561, 0.168, 0.168], [0.832, 0.439, 0.832], [0.832, 0.832, 0.439], [0.500, 0.500, 0.500]],
  "m_tot_mub_per_cell": 0.000,
  "spacegroup": "R-3m, No. 166",
  "final_energy_ev_per_atom": -8.6561,
  "formation_enthalpy_0k_ev_per_atom": 0.949
}

[12]
{
  "formula": "KAcGe4",
  "functional": "GGA-PBE",
  "state": "relaxed",
  "lattice_angstrom": [[4.193, 0.000, 0.000], [0.000, 4.636, 0.000], [0.000, 0.000, 8.847]],
  "species": ["K", "Ac", "Ge", "Ge", "Ge", "Ge"],
  "frac_coords": [[0.000, 0.000, 0.000], [0.500, 0.000, 0.500], [0.000, 0.500, 0.357], [0.000, 0.500, 0.643], [0.500, 0.500, 0.196], [0.500, 0.500, 0.804]],
  "e_above_lowest_polymorph_kcal_per_mol_atoms": 0.00,
  "m_tot_mub_per_cell": 0.000,
  "spacegroup": "Pmmm, No. 47",
  "final_energy_ev_per_atom": -4.2514,
  "formation_enthalpy_0k_ev_per_atom": -0.306
}